[1]
Compound: NdGaAu4
Source: Alexandria via LeMat-Bulk
Functional: PBE
Structure: optimized geometry

POSCAR file:
```
NdGaAu4
1.0
5.050 0.000 0.000
0.000 7.345 0.000
-2.525 0.000 6.958
Ga Nd Au
2 2 8
direct
0.864 0.250 0.729
0.136 0.750 0.271
0.617 0.250 0.235
0.383 0.750 0.765
0.213 0.436 0.425
0.404 0.250 0.809
0.787 0.564 0.575
0.213 0.064 0.425
0.000 0.000 0.000
0.596 0.750 0.191
0.000 0.500 0.000
0.787 0.936 0.575
```

Output
- ΔE to the lowest computed polymorph (eV/atom) = 0.044
- E_form (eV/atom) = -0.43
- M_tot (μB/atom) = 0.00

=====

[2]
Compound: Nd2GaAu6
Source: Alexandria via LeMat-Bulk
Functional: PBE
Structure: optimized geometry

POSCAR file:
```
Nd2GaAu6
1.0
5.480 -0.025 -0.014
0.031 6.403 0.008
0.031 3.197 5.547
Au Ga Nd
6 1 2
direct
0.692 0.637 0.182
0.692 0.182 0.637
0.308 0.818 0.818
0.308 0.363 0.818
0.692 0.182 0.182
0.308 0.818 0.363
0.000 0.000 0.000
0.179 0.333 0.333
0.821 0.667 0.667
```

Output
- E_form (eV/atom) = -0.61
- M_tot (μB/atom) = 0.00

=====

[3]
Compound: NdGa2Au6
Source: Alexandria via LeMat-Bulk
Functional: PBE
Structure: optimized geometry

POSCAR file:
```
NdGa2Au6
1.0
-1.940 -4.454 2.945
1.373 -0.598 -5.480
6.782 -1.707 1.886
Nd Ga Au
1 2 6
direct
0.000 0.000 0.000
0.667 0.333 0.500
0.333 0.667 0.500
0.500 0.000 0.796
0.500 0.500 0.204
0.500 0.500 0.796
0.500 0.000 0.204
0.000 0.500 0.796
0.000 0.500 0.204
```

Output
- ΔE to the lowest computed polymorph (eV/atom) = 0.053
- E_form (eV/atom) = -0.29
- M_tot (μB/atom) = 0.00

=====

[4]
Compound: Nd8GaAu2
Source: Alexandria via LeMat-Bulk
Functional: PBE
Structure: optimized geometry

POSCAR file:
```
Nd8GaAu2
1.0
-3.080 3.187 -2.817
-5.588 -1.889 3.972
5.659 5.866 5.346
Nd Ga Au
8 1 2
direct
0.978 0.222 0.956
0.409 0.533 0.818
0.802 0.664 0.604
0.022 0.778 0.044
0.591 0.467 0.182
0.198 0.336 0.396
0.331 0.009 0.661
0.669 0.991 0.339
0.500 0.000 0.000
0.175 0.733 0.350
0.825 0.267 0.650
```

Output
- ΔE to the lowest computed polymorph (eV/atom) = 0.000
- E_form (eV/atom) = -0.37
- M_tot (μB/atom) = 0.00

=====

[5]
Compound: Nd8GaAu2
Source: Alexandria via LeMat-Bulk
Functional: PBE
Structure: optimized geometry

POSCAR file:
```
Nd8GaAu2
1.0
-2.860 -0.195 4.981
2.520 -7.894 -0.306
5.791 5.551 2.100
Nd Au Ga
8 2 1
direct
0.593 0.317 0.084
0.190 0.389 0.389
0.378 0.920 0.675
0.378 0.675 0.920
0.811 0.636 0.636
0.593 0.084 0.317
0.992 0.771 0.230
0.992 0.230 0.771
0.494 0.691 0.309
0.494 0.309 0.691
0.083 0.012 0.012
```

Output
- ΔE to the lowest computed polymorph (eV/atom) = 0.108
- E_form (eV/atom) = -0.26
- M_tot (μB/atom) = 0.00

=====

[6]
Compound: Nd2Ga5Au
Source: Alexandria via LeMat-Bulk
Functional: PBE
Structure: optimized geometry

POSCAR file:
```
Nd2Ga5Au
1.0
6.271 -0.086 -0.123
-3.163 5.416 0.123
-3.163 -1.727 5.135
Ga Au Nd
5 1 2
direct
0.000 0.737 0.294
0.000 0.243 0.243
0.442 0.737 0.737
0.558 0.294 0.294
0.000 0.294 0.737
0.000 0.887 0.887
0.500 0.765 0.265
0.500 0.265 0.765
```

Output
- E_form (eV/atom) = -0.53
- M_tot (μB/atom) = 0.00

=====

[7]
Compound: NdGa2Au6
Source: Alexandria via LeMat-Bulk
Functional: PBE
Structure: optimized geometry

POSCAR file:
```
NdGa2Au6
1.0
5.472 -0.174 0.468
0.481 5.654 2.124
-0.023 0.365 6.048
Au Ga Nd
6 2 1
direct
0.500 0.765 0.235
0.250 0.489 0.044
0.750 0.511 0.956
0.500 0.235 0.765
0.750 0.956 0.511
0.250 0.044 0.489
0.864 0.403 0.403
0.136 0.597 0.597
0.000 0.000 0.000
```

Output
- ΔE to the lowest computed polymorph (eV/atom) = 0.000
- E_form (eV/atom) = -0.34
- M_tot (μB/atom) = 0.00

=====

[8]
Compound: NdGa5Au7
Source: Alexandria via LeMat-Bulk
Functional: PBE
Structure: optimized geometry

POSCAR file:
```
NdGa5Au7
1.0
-5.040 -0.322 -2.533
-3.797 -5.724 1.980
-5.159 3.476 3.522
Nd Ga Au
1 5 7
direct
0.992 0.008 0.008
0.011 0.491 0.003
0.495 0.491 0.003
0.737 0.763 0.763
0.495 0.003 0.491
0.011 0.003 0.491
0.274 0.226 0.226
0.516 0.181 0.787
0.322 0.678 0.678
0.988 0.674 0.350
0.655 0.345 0.345
0.516 0.787 0.181
0.988 0.350 0.674
```

Output
- E_form (eV/atom) = -0.30
- M_tot (μB/atom) = 0.00

=====

[9]
Compound: NdGa4Au6
Source: Alexandria via LeMat-Bulk
Functional: PBE
Structure: optimized geometry

POSCAR file:
```
NdGa4Au6
1.0
6.796 -0.007 -0.010
-3.148 6.023 0.010
-3.148 -2.205 5.605
Au Ga Nd
6 4 1
direct
0.686 0.217 0.217
0.000 0.468 0.783
0.500 0.000 0.500
0.314 0.532 0.532
0.000 0.783 0.468
0.500 0.500 0.000
0.420 0.862 0.862
0.000 0.558 0.138
0.580 0.442 0.442
0.000 0.138 0.558
0.000 0.000 0.000
```

Output
- ΔE to the lowest computed polymorph (eV/atom) = 0.082
- E_form (eV/atom) = -0.31
- M_tot (μB/atom) = 0.00

=====

[10]
Compound: Nd4Ga3Au
Source: Alexandria via LeMat-Bulk
Functional: PBE
Structure: optimized geometry

POSCAR file:
```
Nd4Ga3Au
1.0
4.333 0.000 0.000
0.000 4.328 0.000
0.000 0.000 11.323
Nd Ga Au
4 3 1
direct
0.500 0.500 0.358
0.500 0.000 0.643
0.000 0.500 0.860
0.000 0.000 0.141
0.500 0.000 0.921
0.000 0.500 0.571
0.000 0.000 0.429
0.500 0.500 0.077
```

Output
- E_form (eV/atom) = -0.61
- M_tot (μB/atom) = 0.00

=====

[11]
Compound: Nd3GaAu
Source: Alexandria via LeMat-Bulk
Functional: PBE
Structure: optimized geometry

POSCAR file:
```
Nd3GaAu
1.0
4.047 0.000 -0.001
-2.023 8.072 -0.084
-0.002 -0.448 8.626
Nd Ga Au
6 2 2
direct
0.618 0.269 0.787
0.970 0.973 0.012
0.074 0.181 0.409
0.426 0.885 0.634
0.256 0.546 0.030
0.787 0.608 0.392
0.810 0.654 0.782
0.234 0.500 0.639
0.618 0.269 0.154
0.426 0.885 0.267
```

Output
- E_form (eV/atom) = -0.51
- M_tot (μB/atom) = 0.00

=====

[12]
Compound: Nd2Ga3Au5
Source: Alexandria via LeMat-Bulk
Functional: PBE
Structure: optimized geometry

POSCAR file:
```
Nd2Ga3Au5
1.0
6.229 0.000 0.000
3.114 8.276 -0.121
3.114 1.157 8.195
Au Nd Ga
10 4 6
direct
0.483 0.767 0.767
0.983 0.767 0.767
0.517 0.233 0.233
0.400 0.258 0.942
0.600 0.742 0.058
0.017 0.233 0.233
0.250 0.500 0.500
0.750 0.500 0.500
0.900 0.942 0.258
0.100 0.058 0.742
0.366 0.863 0.405
0.634 0.137 0.595
0.866 0.405 0.863
0.134 0.595 0.137
0.365 0.518 0.752
0.250 0.000 0.000
0.750 0.000 0.000
0.865 0.752 0.518
0.635 0.482 0.248
0.135 0.248 0.482
```

Output
- ΔE to the lowest computed polymorph (eV/atom) = 0.000
- E_form (eV/atom) = -0.61
- M_tot (μB/atom) = 0.00

=====

[13]
Compound: NdGa12Au4
Source: Alexandria via LeMat-Bulk
Functional: PBE
Structure: optimized geometry

POSCAR file:
```
NdGa12Au4
1.0
7.762 0.000 0.000
-2.587 7.318 0.000
-2.587 -3.659 6.338
Ga Au Nd
12 4 1
direct
0.147 0.646 0.793
0.354 0.207 0.853
0.501 0.147 0.354
0.147 0.354 0.501
0.853 0.354 0.207
0.646 0.793 0.147
0.853 0.646 0.499
0.354 0.501 0.147
0.646 0.499 0.853
0.499 0.853 0.646
0.207 0.853 0.354
0.793 0.147 0.646
0.500 0.000 0.000
0.000 0.500 0.000
0.000 0.000 0.500
0.500 0.500 0.500
0.000 0.000 0.000
```

Output
- E_form (eV/atom) = -0.17
- M_tot (μB/atom) = 0.00

=====

[14]
Compound: Nd3Ga2Au7
Source: Alexandria via LeMat-Bulk
Functional: PBE
Structure: optimized geometry

POSCAR file:
```
Nd3Ga2Au7
1.0
4.315 0.000 0.000
0.000 4.315 0.000
-2.158 -2.158 14.352
Nd Au Ga
3 7 2
direct
0.327 0.327 0.653
0.500 0.500 0.000
0.673 0.673 0.347
0.000 0.000 0.000
0.920 0.420 0.840
0.420 0.920 0.840
0.580 0.080 0.160
0.778 0.778 0.557
0.222 0.222 0.443
0.080 0.580 0.160
0.131 0.131 0.263
0.869 0.869 0.737
```

Output
- E_form (eV/atom) = -0.56
- M_tot (μB/atom) = 0.00

=====

[15]
Compound: NdGa4Au
Source: Alexandria via LeMat-Bulk
Functional: PBE
Structure: optimized geometry

POSCAR file:
```
NdGa4Au
1.0
4.774 0.013 -0.028
-0.011 5.392 -0.048
-2.315 -2.647 9.522
Ga Nd Au
8 2 2
direct
0.855 0.357 0.211
0.925 0.931 0.351
0.645 0.143 0.789
0.075 0.069 0.649
0.145 0.643 0.789
0.355 0.857 0.211
0.425 0.431 0.351
0.575 0.569 0.649
0.750 0.750 0.000
0.250 0.250 0.000
0.000 0.500 0.500
0.500 0.000 0.500
```

Output
- E_form (eV/atom) = -0.29
- M_tot (μB/atom) = 0.00

=====

[16]
Compound: NdGa3Au4
Source: Alexandria via LeMat-Bulk
Functional: PBE
Structure: optimized geometry

POSCAR file:
```
NdGa3Au4
1.0
-1.266 -2.942 3.089
0.616 -3.314 -2.904
7.760 -0.733 2.482
Au Ga Nd
4 3 1
direct
0.000 0.500 0.185
0.500 0.000 0.815
0.500 0.000 0.185
0.000 0.500 0.815
0.000 0.000 0.000
0.500 0.500 0.350
0.500 0.500 0.650
0.000 0.000 0.500
```

Output
- E_form (eV/atom) = -0.44
- M_tot (μB/atom) = 0.00

=====

[17]
Compound: NdGa2Au8
Source: Alexandria via LeMat-Bulk
Functional: PBE
Structure: optimized geometry

POSCAR file:
```
NdGa2Au8
1.0
5.601 0.000 0.000
0.000 5.601 0.000
0.000 0.000 8.358
Au Ga Nd
8 2 1
direct
0.246 0.754 0.221
0.246 0.246 0.221
0.246 0.754 0.779
0.754 0.754 0.221
0.246 0.246 0.779
0.754 0.754 0.779
0.754 0.246 0.221
0.754 0.246 0.779
0.000 0.500 0.000
0.500 0.000 0.000
0.500 0.500 0.500
```

Output
- E_form (eV/atom) = -0.12
- M_tot (μB/atom) = 0.00

=====

[18]
Compound: Nd3Ga4Au7
Source: Alexandria via LeMat-Bulk
Functional: PBE
Structure: optimized geometry

POSCAR file:
```
Nd3Ga4Au7
1.0
4.338 0.000 1.094
1.544 7.874 3.025
0.123 0.346 8.655
Ga Nd Au
4 3 7
direct
0.129 0.088 0.654
0.871 0.912 0.346
0.674 0.460 0.193
0.326 0.540 0.807
0.315 0.189 0.181
0.685 0.811 0.819
0.000 0.500 0.500
0.679 0.184 0.458
0.859 0.376 0.905
0.000 0.000 0.000
0.141 0.624 0.095
0.321 0.816 0.542
0.498 0.226 0.778
0.502 0.774 0.222
```

Output
- E_form (eV/atom) = -0.64
- M_tot (μB/atom) = 0.00

=====

[19]
Compound: Nd2Ga3Au2
Source: Alexandria via LeMat-Bulk
Functional: PBE
Structure: optimized geometry

POSCAR file:
```
Nd2Ga3Au2
1.0
-3.125 0.987 3.089
0.313 -5.705 -1.144
4.854 1.766 4.346
Ga Nd Au
3 2 2
direct
0.405 0.811 0.574
0.500 0.000 0.000
0.595 0.189 0.426
0.850 0.700 0.223
0.150 0.300 0.777
0.155 0.309 0.256
0.845 0.691 0.744
```

Output
- E_form (eV/atom) = -0.66
- M_tot (μB/atom) = 0.00

=====

[20]
Compound: Nd2GaAu3
Source: Alexandria via LeMat-Bulk
Functional: PBE
Structure: optimized geometry

POSCAR file:
```
Nd2GaAu3
1.0
-0.228 0.763 -3.568
-2.758 -3.700 -0.616
-6.566 4.659 1.416
Nd Au Ga
2 3 1
direct
0.000 0.000 0.508
0.000 0.500 0.992
0.500 0.500 0.649
0.500 0.000 0.183
0.500 0.000 0.841
0.500 0.500 0.327
```

Output
- ΔE to the lowest computed polymorph (eV/atom) = 0.000
- E_form (eV/atom) = -0.78
- M_tot (μB/atom) = 0.00

=====

[21]
Compound: NdGa4Au12
Source: Alexandria via LeMat-Bulk
Functional: PBE
Structure: optimized geometry

POSCAR file:
```
NdGa4Au12
1.0
7.796 0.000 0.000
-2.599 7.350 0.000
-2.599 -3.675 6.365
Au Ga Nd
12 4 1
direct
0.846 0.343 0.189
0.154 0.343 0.497
0.343 0.189 0.846
0.657 0.811 0.154
0.846 0.657 0.503
0.343 0.497 0.154
0.811 0.154 0.657
0.503 0.846 0.657
0.189 0.846 0.343
0.657 0.503 0.846
0.154 0.657 0.811
0.497 0.154 0.343
0.500 0.000 0.000
0.000 0.000 0.500
0.000 0.500 0.000
0.500 0.500 0.500
0.000 0.000 0.000
```

Output
- E_form (eV/atom) = -0.09
- M_tot (μB/atom) = 0.00